A geometry-optimized GaTc2Ge2 structure. Source: OQMD via LeMat-Bulk, functional GGA-PBE.

Cell: 5.6658 5.6658 5.6658 Å, 135.62 135.62 64.56°
With the nearest neighbours (Å) after each atom.
Element x y z (fractional)
Ga (0.0000, 0.0000, 0.0000)  8 Tc 3.21, 8 Ge 3.25
Tc (0.2500, 0.7500, 0.5000)  4 Ge 2.46
Tc (0.7500, 0.2500, 0.5000)  4 Ge 2.46
Ge (0.3767, 0.3767, 0.0000)  1 Ge 2.36, 4 Tc 2.46
Ge (0.6233, 0.6233, 0.0000)  1 Ge 2.36, 4 Tc 2.46

Its polymorph energy (0 for the lowest one) is 0.3706 eV/atom. Its space group is I4/mmm, No. 139. Its calculated volume is 17.5 Å³/atom. Its total moment is 0.06 μB per formula unit.